Material: Al4IrRh3
Method: DFT, PBE
State: relaxed

a b c (Å): 2.993 4.263 8.525
angles (deg): 90.00 90.00 90.00
Element x y z (fractional)
Ir: 0.500 0.500 0.000
Al: 0.000 0.500 0.251
Al: 0.000 0.000 0.500
Al: 0.000 0.500 0.749
Al: 0.000 0.000 0.000
Rh: 0.500 0.000 0.250
Rh: 0.500 0.500 0.500
Rh: 0.500 0.000 0.750

Results
DFT formation energy	-1058	meV/atom